No. 1
# KBe2Fe (PBE, relaxed)
data_KBe2Fe
_chemical_formula_sum 'K2 Be4 Fe2'
_space_group_name_H-M_alt 'I m m 2'
_space_group_IT_number 44
_space_group_name_Hall 'I 2 -2'
_cell_length_a 2.523
_cell_length_b 5.291
_cell_length_c 9.816
_cell_angle_alpha 90.00
_cell_angle_beta 90.00
_cell_angle_gamma 90.00
loop_
_atom_site_label
_atom_site_type_symbol
_atom_site_fract_x
_atom_site_fract_y
_atom_site_fract_z
_atom_site_occupancy
K1 K 0.000 0.000 0.000 1
Be1 Be 0.000 0.000 0.496 1
Be2 Be 0.000 0.500 0.805 1
Fe1 Fe 0.000 0.500 0.190 1
# Fermi-level density of states: 0.587 states/eV per atom
# offset from the most stable computed form: 0.4718 eV per atom
# formation energy: 949 meV per atom

---

No. 2
# KBe2Fe (PBE, relaxed)
data_KBe2Fe
_chemical_formula_sum 'K1 Be2 Fe1'
_space_group_name_H-M_alt 'P 4/m m m'
_space_group_IT_number 123
_space_group_name_Hall '-P 4 2'
_cell_length_a 4.769
_cell_length_b 4.769
_cell_length_c 2.584
_cell_angle_alpha 90.00
_cell_angle_beta 90.00
_cell_angle_gamma 90.00
loop_
_atom_site_label
_atom_site_type_symbol
_atom_site_fract_x
_atom_site_fract_y
_atom_site_fract_z
_atom_site_occupancy
K1 K 0.000 0.000 0.000 1
Be1 Be 0.000 0.500 0.500 1
Fe1 Fe 0.500 0.500 0.000 1
# Fermi-level density of states: 0.414 states/eV per atom
# offset from the most stable computed form: 0.6641 eV per atom
# formation energy: 1141 meV per atom

---

No. 3
# KBe2Fe (PBE, relaxed)
data_KBe2Fe
_chemical_formula_sum 'K4 Be8 Fe4'
_space_group_name_H-M_alt 'F m -3 m'
_space_group_IT_number 225
_space_group_name_Hall '-F 4 2 3'
_cell_length_a 6.261
_cell_length_b 6.261
_cell_length_c 6.261
_cell_angle_alpha 90.00
_cell_angle_beta 90.00
_cell_angle_gamma 90.00
loop_
_atom_site_label
_atom_site_type_symbol
_atom_site_fract_x
_atom_site_fract_y
_atom_site_fract_z
_atom_site_occupancy
K1 K 0.000 0.000 0.000 1
Be1 Be 0.250 0.250 0.250 1
Fe1 Fe 0.000 0.000 0.500 1
# Fermi-level density of states: 2.120 states/eV per atom
# offset from the most stable computed form: 1.0420 eV per atom
# formation energy: 1519 meV per atom